1.
Crystalline TlZnCdAg at its relaxed geometry, computed with PBE.

SG: P1 (1)
Energy above the most stable polymorph in this dataset: 2 meV/atom

The structure in POSCAR format:
```
TlZnCdAg
1.0
3.233 0.015 0.004
-0.004 3.613 0.027
-0.419 -0.185 7.438
Tl Zn Cd Ag
1 1 1 1
Direct
0.539 0.238 0.647 Tl
0.062 0.746 0.369 Zn
0.023 0.737 0.959 Cd
0.545 0.242 0.194 Ag
```

2.
Crystalline Ca2GeP3Ir4 at its relaxed geometry, computed with PBE.

Calculated total energy: -6.78 eV per atom
SG: P-4m2 (115)

The structure in POSCAR format:
```
Ca2GeP3Ir4
1.0
4.117 0.000 0.000
0.000 4.117 0.000
0.000 0.000 9.927
P Ir Ge Ca
3 4 1 2
Direct
0.000 0.000 0.500 P
0.000 0.500 0.134 P
0.500 0.000 0.866 P
0.000 0.000 0.000 Ir
0.500 0.000 0.632 Ir
0.500 0.500 0.000 Ir
0.000 0.500 0.368 Ir
0.500 0.500 0.500 Ge
0.500 0.000 0.253 Ca
0.000 0.500 0.747 Ca
```